[1]
Computed, not measured: CuB2Cl after structural relaxation at the PBE level of DFT.

Cell and atoms, written as POSCAR:
```
CuB2Cl
1.0
5.040 0.000 0.000
0.000 5.040 0.000
0.000 0.000 9.004
Cu B Cl
4 8 4
Direct
0.000 0.000 0.000
0.000 0.500 0.250
0.500 0.000 0.750
0.500 0.500 0.500
0.206 0.250 0.125
0.250 0.706 0.375
0.250 0.794 0.875
0.294 0.250 0.625
0.706 0.750 0.625
0.750 0.206 0.875
0.750 0.294 0.375
0.794 0.750 0.125
0.000 0.000 0.500
0.000 0.500 0.750
0.500 0.000 0.250
0.500 0.500 0.000
```

Summary:
Energy above the most stable polymorph in this dataset   0.000 eV/atom
E_form (uncorrected)   4.9 eV/f.u.


[2]
Computed, not measured: Cu2BCl after structural relaxation at the PBE level of DFT.

Cell and atoms, written as POSCAR:
```
Cu2BCl
1.0
5.609 0.000 0.000
0.000 5.609 0.000
0.000 0.000 7.739
Cu B Cl
8 4 4
Direct
0.187 0.250 0.125
0.250 0.687 0.375
0.250 0.813 0.875
0.313 0.250 0.625
0.687 0.750 0.625
0.750 0.187 0.875
0.750 0.313 0.375
0.813 0.750 0.125
0.000 0.000 0.000
0.000 0.500 0.250
0.500 0.000 0.750
0.500 0.500 0.500
0.000 0.000 0.500
0.000 0.500 0.750
0.500 0.000 0.250
0.500 0.500 0.000
```

Summary:
Energy above the most stable polymorph in this dataset   0.000 eV/atom
E_form (uncorrected)   1.7 eV/f.u.


[3]
Computed, not measured: CuBCl2 after structural relaxation at the PBE level of DFT.

Cell and atoms, written as POSCAR:
```
CuBCl2
1.0
6.397 0.000 0.000
0.000 6.397 0.000
0.000 0.000 6.397
Cu B Cl
4 4 8
Direct
0.000 0.000 0.000
0.000 0.500 0.500
0.500 0.000 0.500
0.500 0.500 0.000
0.000 0.000 0.500
0.000 0.500 0.000
0.500 0.000 0.000
0.500 0.500 0.500
0.250 0.250 0.250
0.250 0.250 0.750
0.250 0.750 0.250
0.250 0.750 0.750
0.750 0.250 0.250
0.750 0.250 0.750
0.750 0.750 0.250
0.750 0.750 0.750
```

Summary:
Energy above the most stable polymorph in this dataset   0.334 eV/atom
E_form (uncorrected)   3.6 eV/f.u.


[4]
Computed, not measured: Cu2BCl after structural relaxation at the PBE level of DFT.

Cell and atoms, written as POSCAR:
```
Cu2BCl
1.0
5.965 0.000 0.000
0.000 5.965 0.000
0.000 0.000 5.965
Cu B Cl
8 4 4
Direct
0.250 0.250 0.250
0.250 0.250 0.750
0.250 0.750 0.250
0.250 0.750 0.750
0.750 0.250 0.250
0.750 0.250 0.750
0.750 0.750 0.250
0.750 0.750 0.750
0.000 0.000 0.000
0.000 0.500 0.500
0.500 0.000 0.500
0.500 0.500 0.000
0.000 0.000 0.500
0.000 0.500 0.000
0.500 0.000 0.000
0.500 0.500 0.500
```

Summary:
Energy above the most stable polymorph in this dataset   0.662 eV/atom
E_form (uncorrected)   4.4 eV/f.u.


[5]
Computed, not measured: Cu3BCl after structural relaxation at the PBE level of DFT.

Cell and atoms, written as POSCAR:
```
Cu3BCl
1.0
4.106 0.000 0.000
0.000 4.106 0.000
0.000 0.000 4.106
Cu B Cl
3 1 1
Direct
0.000 0.000 0.500
0.000 0.500 0.000
0.500 0.000 0.000
0.000 0.000 0.000
0.500 0.500 0.500
```

Summary:
Energy above the most stable polymorph in this dataset   0.000 eV/atom
E_form (uncorrected)   2.5 eV/f.u.


[6]
Computed, not measured: CuB2Cl6 after structural relaxation at the PBE level of DFT.

Cell and atoms, written as POSCAR:
```
CuB2Cl6
1.0
7.040 -6.129 0.000
7.040 6.129 0.000
-5.117 0.000 6.892
Cu B Cl
2 4 12
Direct
0.238 0.762 0.750
0.762 0.238 0.250
0.182 0.362 0.358
0.362 0.182 0.858
0.638 0.818 0.142
0.818 0.638 0.642
0.008 0.745 0.813
0.199 0.572 0.433
0.255 0.992 0.687
0.273 0.337 0.987
0.337 0.273 0.487
0.428 0.801 0.067
0.572 0.199 0.933
0.663 0.727 0.513
0.727 0.663 0.013
0.745 0.008 0.313
0.801 0.428 0.567
0.992 0.255 0.187
```

Summary:
E_form (uncorrected)   -4.8 eV/f.u.


[7]
Computed, not measured: CuBCl3 after structural relaxation at the PBE level of DFT.

Cell and atoms, written as POSCAR:
```
CuBCl3
1.0
4.389 0.000 0.000
0.000 4.389 0.000
0.000 0.000 4.389
Cu B Cl
1 1 3
Direct
0.000 0.000 0.000
0.500 0.500 0.500
0.000 0.500 0.500
0.500 0.000 0.500
0.500 0.500 0.000
```

Summary:
Energy above the most stable polymorph in this dataset   0.000 eV/atom
E_form (uncorrected)   2.1 eV/f.u.


[8]
Computed, not measured: Cu2BCl6 after structural relaxation at the PBE level of DFT.

Cell and atoms, written as POSCAR:
```
Cu2BCl6
1.0
6.567 -6.302 0.000
6.567 6.302 0.000
-3.219 0.000 5.716
Cu B Cl
4 2 12
Direct
0.173 0.311 0.480
0.311 0.173 0.980
0.689 0.827 0.020
0.827 0.689 0.520
0.258 0.742 0.750
0.742 0.258 0.250
0.082 0.735 0.832
0.154 0.323 0.811
0.251 0.568 0.489
0.265 0.918 0.668
0.323 0.154 0.311
0.432 0.749 0.011
0.568 0.251 0.989
0.677 0.846 0.689
0.735 0.082 0.332
0.749 0.432 0.511
0.846 0.677 0.189
0.918 0.265 0.168
```

Summary:
E_form (uncorrected)   -5.9 eV/f.u.


[9]
Computed, not measured: CuBCl2 after structural relaxation at the PBE level of DFT.

Cell and atoms, written as POSCAR:
```
CuBCl2
1.0
5.733 0.000 0.000
0.000 5.733 0.000
0.000 0.000 10.797
Cu B Cl
4 4 8
Direct
0.000 0.000 0.000
0.000 0.500 0.250
0.500 0.000 0.750
0.500 0.500 0.500
0.000 0.000 0.500
0.000 0.500 0.750
0.500 0.000 0.250
0.500 0.500 0.000
0.218 0.250 0.125
0.250 0.718 0.375
0.250 0.782 0.875
0.282 0.250 0.625
0.718 0.750 0.625
0.750 0.218 0.875
0.750 0.282 0.375
0.782 0.750 0.125
```

Summary:
Energy above the most stable polymorph in this dataset   0.041 eV/atom
E_form (uncorrected)   2.4 eV/f.u.


[10]
Computed, not measured: CuBCl2 after structural relaxation at the PBE level of DFT.

Cell and atoms, written as POSCAR:
```
CuBCl2
1.0
3.114 0.000 0.000
-1.557 2.697 0.000
0.000 0.000 28.893
Cu B Cl
3 3 6
Direct
0.000 0.000 0.000
0.333 0.667 0.667
0.667 0.333 0.333
0.000 0.000 0.500
0.333 0.667 0.167
0.667 0.333 0.833
0.000 0.000 0.442
0.000 0.000 0.558
0.333 0.667 0.109
0.333 0.667 0.224
0.667 0.333 0.776
0.667 0.333 0.891
```

Summary:
Energy above the most stable polymorph in this dataset   0.000 eV/atom
E_form (uncorrected)   2.2 eV/f.u.


[11]
Computed, not measured: CuB3Cl after structural relaxation at the PBE level of DFT.

Cell and atoms, written as POSCAR:
```
CuB3Cl
1.0
3.829 0.000 0.000
0.000 3.829 0.000
0.000 0.000 3.829
Cu B Cl
1 3 1
Direct
0.000 0.000 0.000
0.000 0.500 0.500
0.500 0.000 0.500
0.500 0.500 0.000
0.500 0.500 0.500
```

Summary:
Energy above the most stable polymorph in this dataset   0.836 eV/atom
E_form (uncorrected)   12.0 eV/f.u.


[12]
Computed, not measured: CuBCl3 after structural relaxation at the PBE level of DFT.

Cell and atoms, written as POSCAR:
```
CuBCl3
1.0
4.713 0.000 0.000
0.000 4.713 0.000
0.000 0.000 4.713
Cu B Cl
1 1 3
Direct
0.000 0.000 0.000
0.500 0.500 0.500
0.000 0.000 0.500
0.000 0.500 0.000
0.500 0.000 0.000
```

Summary:
Energy above the most stable polymorph in this dataset   0.148 eV/atom
E_form (uncorrected)   2.8 eV/f.u.


[13]
Computed, not measured: CuB2Cl after structural relaxation at the PBE level of DFT.

Cell and atoms, written as POSCAR:
```
CuB2Cl
1.0
5.926 0.000 0.000
0.000 5.926 0.000
0.000 0.000 5.926
Cu B Cl
4 8 4
Direct
0.000 0.000 0.000
0.000 0.500 0.500
0.500 0.000 0.500
0.500 0.500 0.000
0.250 0.250 0.250
0.250 0.250 0.750
0.250 0.750 0.250
0.250 0.750 0.750
0.750 0.250 0.250
0.750 0.250 0.750
0.750 0.750 0.250
0.750 0.750 0.750
0.000 0.000 0.500
0.000 0.500 0.000
0.500 0.000 0.000
0.500 0.500 0.500
```

Summary:
Energy above the most stable polymorph in this dataset   0.779 eV/atom
E_form (uncorrected)   8.0 eV/f.u.


[14]
Computed, not measured: CuB3Cl after structural relaxation at the PBE level of DFT.

Cell and atoms, written as POSCAR:
```
CuB3Cl
1.0
4.023 0.000 0.000
0.000 4.023 0.000
0.000 0.000 4.023
Cu B Cl
1 3 1
Direct
0.000 0.000 0.000
0.000 0.000 0.500
0.000 0.500 0.000
0.500 0.000 0.000
0.500 0.500 0.500
```

Summary:
Energy above the most stable polymorph in this dataset   0.000 eV/atom
E_form (uncorrected)   7.8 eV/f.u.


[15]
Computed, not measured: Ga2CuBCl after structural relaxation at the PBE level of DFT.

Cell and atoms, written as POSCAR:
```
Ga2CuBCl
1.0
4.922 0.000 0.000
0.000 4.922 0.000
0.000 0.000 3.833
Ga Cu B Cl
2 1 1 1
Direct
0.000 0.500 0.000
0.500 0.000 0.000
0.000 0.000 0.000
0.000 0.000 0.500
0.500 0.500 0.500
```

Summary:
E_form (uncorrected)   1.4 eV/f.u.


[16]
Computed, not measured: CuBH4ClO4 after structural relaxation at the PBE level of DFT.

Cell and atoms, written as POSCAR:
```
CuBH4ClO4
1.0
6.169 0.000 0.000
0.000 6.169 0.000
0.000 0.000 5.809
Cu B H Cl O
2 2 8 2 8
Direct
0.250 0.250 0.126
0.750 0.750 0.874
0.250 0.750 0.000
0.750 0.250 0.000
0.059 0.903 0.239
0.097 0.559 0.761
0.403 0.941 0.761
0.441 0.597 0.239
0.559 0.403 0.761
0.597 0.059 0.239
0.903 0.441 0.239
0.941 0.097 0.761
0.250 0.250 0.649
0.750 0.750 0.351
0.065 0.691 0.851
0.191 0.935 0.149
0.309 0.565 0.149
0.435 0.809 0.851
0.565 0.191 0.149
0.691 0.435 0.851
0.809 0.065 0.851
0.935 0.309 0.149
```

Summary:
Total DFT energy (no corrections)   -5.39 eV/atom


[17]
Computed, not measured: KCuB2Cl8 after structural relaxation at the PBE level of DFT.

Cell and atoms, written as POSCAR:
```
KCuB2Cl8
1.0
2.984 1.723 9.073
-2.984 1.723 9.073
0.000 -3.446 9.073
K Cu B Cl
1 1 2 8
Direct
0.000 0.000 0.000
0.500 0.500 0.500
0.245 0.245 0.245
0.755 0.755 0.755
0.077 0.769 0.482
0.231 0.518 0.923
0.314 0.314 0.314
0.482 0.077 0.769
0.518 0.923 0.231
0.686 0.686 0.686
0.769 0.482 0.077
0.923 0.231 0.518
```

Summary:
E_form (uncorrected)   -11.8 eV/f.u.


[18]
Computed, not measured: CuBPCl2 after structural relaxation at the PBE level of DFT.

Cell and atoms, written as POSCAR:
```
CuBPCl2
1.0
4.929 0.000 0.000
0.000 4.929 0.000
0.000 0.000 3.668
Cu B P Cl
1 1 1 2
Direct
0.000 0.000 0.000
0.500 0.500 0.500
0.500 0.500 0.000
0.000 0.500 0.500
0.500 0.000 0.500
```

Summary:
Energy above the most stable polymorph in this dataset   0.000 eV/atom
E_form (uncorrected)   4.0 eV/f.u.


[19]
Computed, not measured: CuBPCl2 after structural relaxation at the PBE level of DFT.

Cell and atoms, written as POSCAR:
```
CuBPCl2
1.0
4.828 0.000 0.000
0.000 4.828 0.000
0.000 0.000 4.500
Cu B P Cl
1 1 1 2
Direct
0.000 0.000 0.000
0.500 0.500 0.500
0.000 0.000 0.500
0.000 0.500 0.000
0.500 0.000 0.000
```

Summary:
Energy above the most stable polymorph in this dataset   0.333 eV/atom
E_form (uncorrected)   5.6 eV/f.u.


[20]
Computed, not measured: RbCuB2Cl8 after structural relaxation at the PBE level of DFT.

Cell and atoms, written as POSCAR:
```
RbCuB2Cl8
1.0
3.005 1.735 9.276
-3.005 1.735 9.276
0.000 -3.470 9.276
Rb Cu B Cl
1 1 2 8
Direct
0.000 0.000 0.000
0.500 0.500 0.500
0.243 0.243 0.243
0.757 0.757 0.757
0.078 0.488 0.767
0.233 0.922 0.512
0.310 0.310 0.310
0.488 0.767 0.078
0.512 0.233 0.922
0.690 0.690 0.690
0.767 0.078 0.488
0.922 0.512 0.233
```

Summary:
E_form (uncorrected)   -11.9 eV/f.u.


[21]
Computed, not measured: CuBS2Cl after structural relaxation at the PBE level of DFT.

Cell and atoms, written as POSCAR:
```
CuBS2Cl
1.0
3.825 0.000 0.000
0.000 3.825 0.000
0.000 0.000 7.174
Cu B S Cl
1 1 2 1
Direct
0.000 0.000 0.000
0.500 0.500 0.500
0.000 0.500 0.500
0.500 0.000 0.500
0.500 0.500 0.000
```

Summary:
Energy above the most stable polymorph in this dataset   0.000 eV/atom
E_form (uncorrected)   3.1 eV/f.u.


[22]
Computed, not measured: CuBS2Cl after structural relaxation at the PBE level of DFT.

Cell and atoms, written as POSCAR:
```
CuBS2Cl
1.0
4.484 0.000 0.000
0.000 4.484 0.000
0.000 0.000 4.862
Cu B S Cl
1 1 2 1
Direct
0.000 0.000 0.000
0.500 0.500 0.500
0.000 0.500 0.000
0.500 0.000 0.000
0.000 0.000 0.500
```

Summary:
Energy above the most stable polymorph in this dataset   0.568 eV/atom
E_form (uncorrected)   6.0 eV/f.u.


[23]
Computed, not measured: SrCuB2Cl after structural relaxation at the PBE level of DFT.

Cell and atoms, written as POSCAR:
```
SrCuB2Cl
1.0
3.927 0.000 0.000
0.000 3.927 0.000
0.000 0.000 6.320
Sr Cu B Cl
1 1 2 1
Direct
0.000 0.000 0.000
0.500 0.500 0.500
0.000 0.500 0.500
0.500 0.000 0.500
0.500 0.500 0.000
```

Summary:
E_form (uncorrected)   1.3 eV/f.u.


[24]
Computed, not measured: TaCu2BCl after structural relaxation at the PBE level of DFT.

Cell and atoms, written as POSCAR:
```
TaCu2BCl
1.0
5.024 0.000 0.000
0.000 5.024 0.000
0.000 0.000 4.280
Ta Cu B Cl
1 2 1 1
Direct
0.000 0.000 0.000
0.000 0.500 0.000
0.500 0.000 0.000
0.000 0.000 0.500
0.500 0.500 0.500
```

Summary:
E_form (uncorrected)   7.8 eV/f.u.


[25]
Computed, not measured: CuTcBCl2 after structural relaxation at the PBE level of DFT.

Cell and atoms, written as POSCAR:
```
CuTcBCl2
1.0
4.607 0.000 0.000
0.000 4.607 0.000
0.000 0.000 5.075
Cu Tc B Cl
1 1 1 2
Direct
0.000 0.000 0.000
0.000 0.000 0.500
0.500 0.500 0.000
0.000 0.500 0.500
0.500 0.000 0.500
```

Summary:
E_form (uncorrected)   6.5 eV/f.u.


M_tot (computed, Bohr magnetons per cell): 0.00; 0.00; 0.00; 0.00; 0.00; 0.00; 0.00; 2.16; 0.00; 0.00; 0.00; 0.00; 0.00; 0.00; 0.00; 2.01; 0.11; 0.15; 1.58; 0.11; 0.00; 0.00; 0.00; 0.78; 1.15